[1]
Crystalline La2CdPb at its relaxed geometry. Source: the Alexandria database, functional PBE.

Lattice parameters (Å, degrees): 3.678 3.678 9.132 90.00 90.00 90.00
Element x y z (fractional)
Pb 0.500 0.500 0.250
Cd 0.500 0.500 0.750
La 0.000 0.000 0.994
La 0.000 0.000 0.506

Spin magnetization, μB per atom: 0.00
Crystal system: tetragonal
Volume, Å³/cell: 124
Symmetry: P4/mmm, No. 123
E, eV per atom: -4.066
DOS(E_F), states/eV per atom: 0.808
ΔH_f (0 K), eV per atom: -0.4461


[2]
Crystalline CsNaIn at its relaxed geometry. Source: the Alexandria database, functional PBE.

Lattice parameters (Å, degrees): 3.749 6.247 6.247 120.00 90.00 90.00
Element x y z (fractional)
Cs 0.664 0.333 0.667
Na 0.176 0.667 0.333
In 0.160 0.000 0.000

Energy above the most stable polymorph in this dataset, meV/atom: 120
Spin magnetization, μB per atom: 0.00
Crystal system: trigonal
Volume, Å³/cell: 127
Symmetry: P3m1, No. 156
E, eV per atom: -1.553
DOS(E_F), states/eV per atom: 0.853
ΔH_f (0 K), eV per atom: 0.0840


[3]
Crystalline MnHBr at its relaxed geometry. Source: the Alexandria database, functional PBE.

Lattice parameters (Å, degrees): 4.883 7.207 5.668 90.00 90.00 90.00
Element x y z (fractional)
H 0.227 0.413 0.131
H 0.727 0.413 0.369
H 0.227 0.587 0.631
H 0.727 0.587 0.869
Mn 0.553 0.479 0.626
Mn 0.553 0.521 0.126
Mn 0.053 0.479 0.874
Mn 0.053 0.521 0.374
Br 0.727 0.217 0.962
Br 0.227 0.217 0.538
Br 0.227 0.783 0.038
Br 0.727 0.783 0.462

Spin magnetization, μB per atom: 1.00
Crystal system: orthorhombic
Volume, Å³/cell: 199
Symmetry: Pca2_1, No. 29
E, eV per atom: -4.841
DOS(E_F), states/eV per atom: 0.058


[4]
Crystalline Tl2InRe at its relaxed geometry. Source: the Alexandria database, functional PBE.

Lattice parameters (Å, degrees): 11.146 11.146 11.146 16.09 16.09 16.09
Element x y z (fractional)
In 0.750 0.750 0.750
Re 0.250 0.250 0.250
Tl 0.990 0.990 0.990
Tl 0.510 0.510 0.510

Energy above the most stable polymorph in this dataset, meV/atom: 198
Spin magnetization, μB per atom: 0.14
Crystal system: trigonal
Volume, Å³/cell: 93
Symmetry: R-3m, No. 166
E, eV per atom: -4.222
DOS(E_F), states/eV per atom: 0.901
ΔH_f (0 K), eV per atom: 0.7580


[5]
Crystalline Ag3BrCl3 at its relaxed geometry. Source: the Alexandria database, functional PBE.

Lattice parameters (Å, degrees): 7.417 7.417 9.074 65.88 65.88 60.00
Element x y z (fractional)
Ag 0.269 0.522 0.258
Ag 0.951 0.269 0.258
Ag 0.522 0.951 0.258
Ag 0.478 0.049 0.742
Ag 0.049 0.731 0.742
Ag 0.731 0.478 0.742
Br 0.318 0.318 0.047
Br 0.682 0.682 0.953
Cl 0.376 0.800 0.676
Cl 0.800 0.148 0.676
Cl 0.148 0.376 0.676
Cl 0.852 0.624 0.324
Cl 0.200 0.852 0.324
Cl 0.624 0.200 0.324

Energy above the most stable polymorph in this dataset, meV/atom: 42
Spin magnetization, μB per atom: 0.00
Crystal system: trigonal
Volume, Å³/cell: 381
Symmetry: R-3, No. 148
E, eV per atom: -2.589
DOS(E_F), states/eV per atom: 0.748


[6]
Crystalline TlFeP2 at its relaxed geometry. Source: the Alexandria database, functional PBE.

Lattice parameters (Å, degrees): 3.850 3.850 6.873 84.44 84.44 48.89
Element x y z (fractional)
Fe 0.750 0.750 0.750
P 0.035 0.035 0.878
P 0.465 0.465 0.622
Tl 0.250 0.250 0.250

Energy above the most stable polymorph in this dataset, meV/atom: 0
Spin magnetization, μB per atom: 0.34
Crystal system: monoclinic
Volume, Å³/cell: 76
Symmetry: C2/m, No. 12
E, eV per atom: -5.446
DOS(E_F), states/eV per atom: 0.603
ΔH_f (0 K), eV per atom: -0.0342


[7]
Crystalline SrCa3Sc at its relaxed geometry. Source: the Alexandria database, functional PBE.

Lattice parameters (Å, degrees): 6.128 6.128 6.128 90.00 90.00 90.00
Element x y z (fractional)
Sc 0.000 0.000 0.000
Sr 0.500 0.500 0.500
Ca 0.000 0.500 0.000
Ca 0.000 0.000 0.500
Ca 0.500 0.000 0.000

Energy above the most stable polymorph in this dataset, meV/atom: 0
Spin magnetization, μB per atom: 0.53
Crystal system: cubic
Volume, Å³/cell: 230
Symmetry: Pm-3m, No. 221
E, eV per atom: -2.314
DOS(E_F), states/eV per atom: 0.952
ΔH_f (0 K), eV per atom: 0.4899


[8]
Crystalline CoCu2NiPt5 at its relaxed geometry. Source: the Alexandria database, functional PBE.

Lattice parameters (Å, degrees): 6.899 6.899 7.445 117.60 117.60 90.00
Element x y z (fractional)
Co 0.250 0.250 0.500
Co 0.750 0.750 0.500
Cu 0.110 0.390 0.000
Cu 0.610 0.110 0.000
Cu 0.390 0.890 0.000
Cu 0.890 0.610 0.000
Ni 0.250 0.750 0.500
Ni 0.750 0.250 0.500
Pt 0.934 0.434 0.275
Pt 0.659 0.159 0.725
Pt 0.066 0.566 0.725
Pt 0.159 0.066 0.725
Pt 0.566 0.659 0.725
Pt 0.841 0.934 0.275
Pt 0.434 0.341 0.275
Pt 0.341 0.841 0.275
Pt 0.500 0.500 0.000
Pt 0.000 0.000 0.000

Spin magnetization, μB per atom: 0.47
Crystal system: tetragonal
Volume, Å³/cell: 268
Symmetry: I4/mcm, No. 140
E, eV per atom: -5.434
DOS(E_F), states/eV per atom: 1.093
ΔH_f (0 K), eV per atom: 0.2644